Here is Dy2GaOs after structural relaxation from Alexandria via LeMat-Bulk. Energies are from PBE-GGA. Values from VASP.

Computed properties:
Crystal system ... tetragonal
DOS(E_F) ... 1.16 states/eV per cell
Energy of formation from the pure elements ... -0.404 eV/atom
Space group ... No. 123
Magnetization ... 0.000 μB per formula unit

Cell and atoms, written as Quantum ESPRESSO input:
```
&SYSTEM
  ibrav = 0, nat = 4, ntyp = 3
/
ATOMIC_SPECIES
Os 190.23 Os.upf
Ga 69.72 Ga.upf
Dy 162.50 Dy.upf
ATOMIC_POSITIONS angstrom
Os 1.740 1.740 0.000
Ga 1.740 1.740 3.536
Dy 0.000 0.000 5.422
Dy 0.000 0.000 1.649
CELL_PARAMETERS angstrom
3.479 0.000 0.000
0.000 3.479 0.000
0.000 0.000 7.071
```